(1)
InHgS2N | PBE | relaxed

POSCAR file:
```
InHgS2N
1.0
-3.796 -2.214 2.757
3.408 -3.369 1.987
0.768 2.659 3.192
Hg S In N
1 2 1 1
Cartesian
0.190 -1.462 3.968
1.704 -1.685 0.993
-1.898 -1.107 1.379
0.000 0.000 0.000
0.384 1.329 1.596
```

Output
Formation energy without anion corrections = 0.892 eV per atom
ρ = 5.7 g/cm³
SG = P4/mmm (123)



(2)
InHgS2N | PBE | relaxed

POSCAR file:
```
InHgS2N
1.0
-1.957 -2.450 -4.191
-0.304 -4.448 2.742
-3.804 0.996 1.194
S In N Hg
2 1 1 1
Cartesian
-0.152 -2.224 1.371
-0.978 -1.225 -2.096
-3.032 -2.951 -0.128
-1.902 0.498 0.597
0.000 0.000 0.000
```

Output
Formation energy without anion corrections = 1.062 eV per atom
ρ = 5.8 g/cm³
SG = P4/mmm (123)



(3)
InHgSe2N | PBE | relaxed

POSCAR file:
```
InHgSe2N
1.0
5.466 0.000 0.000
0.000 5.466 0.000
0.000 0.000 4.142
N Se Hg In
1 2 1 1
Cartesian
0.000 0.000 2.071
0.000 2.733 0.000
2.733 0.000 0.000
0.000 0.000 0.000
2.733 2.733 2.071
```

Output
Formation energy without anion corrections = 0.960 eV per atom
ρ = 6.5 g/cm³
SG = P4/mmm (123)



(4)
InHgSe2N | PBE | relaxed

POSCAR file:
```
InHgSe2N
1.0
5.441 0.000 0.000
0.000 5.441 0.000
0.000 0.000 4.212
In Hg Se N
1 1 2 1
Cartesian
0.000 0.000 0.000
2.721 2.721 2.106
0.000 2.721 0.000
2.721 0.000 0.000
0.000 0.000 2.106
```

Output
Formation energy without anion corrections = 0.828 eV per atom
ρ = 6.5 g/cm³
SG = P4/mmm (123)



(5)
SrInHgN2 | PBE | relaxed

POSCAR file:
```
SrInHgN2
1.0
-0.486 1.438 -4.326
-5.529 -1.626 0.080
-1.201 4.157 1.517
N In Hg Sr
2 1 1 1
Cartesian
-0.243 0.719 -2.163
-0.600 2.079 0.758
-3.608 1.985 -1.365
0.000 0.000 0.000
-2.764 -0.813 0.040
```

Output
Formation energy without anion corrections = 1.566 eV per atom
ρ = 5.9 g/cm³
SG = P4/mmm (123)



(6)
SrIn2HgN | PBE | relaxed

POSCAR file:
```
SrIn2HgN
1.0
4.854 0.000 0.000
0.000 5.107 0.000
0.000 0.000 4.854
Sr In Hg N
1 2 1 1
Cartesian
0.000 2.553 0.000
2.427 0.000 0.000
0.000 0.000 2.427
2.427 2.553 2.427
0.000 0.000 0.000
```

Output
Formation energy without anion corrections = -0.027 eV per atom
ρ = 7.3 g/cm³
SG = P4/mmm (123)